Material: Si3AgH12
Method: DFT, PBE
State: relaxed

volume: 1194 Å³/cell
calculated total energy: -0.131 Ha/atom

a = 7.5357 Å, b = 7.5357 Å, c = 24.2856 Å
α = 90.00°, β = 90.00°, γ = 120.00°
Space group R3c (No. 161, hexagonal axes)
One atom of each set of equivalent atoms:
Si1 0.0193 0.3351 0.0000 (multiplicity 18)
Ag1 0.0000 0.0000 0.4083 (multiplicity 6)
H1 0.0490 0.2031 0.2955 (multiplicity 18)
H2 0.0594 0.5137 0.1967 (multiplicity 18)
H3 0.1488 0.4535 0.3717 (multiplicity 18)
H4 0.1798 0.4037 0.6282 (multiplicity 18)